# 1
Below is a geometry-optimized SrPbF4 structure, with properties calculated at the GGA-PBE level.

Computed properties:
- volume (Å³/cell) = 208
- raw total energy (hartree per atom) = -0.1957
- DOS(E_F) (states/eV per atom) = 0.0000
- SG = I4_1/amd, No. 141
- M_tot (μB/cell) = 0.00
- ΔE_f (raw) (eV per atom) = -3.18

Cell lengths 5.9279, 5.9279, 7.2570 Å; angles 114.11, 114.11, 90.00 degrees
Closest atoms and distances in Å follow each position.
Fractional coordinates of all 12 atoms:
Pb: 0.7500 0.2500 0.5000  8 F 2.59
Pb: 0.0000 0.0000 0.0000  8 F 2.59
Sr: 0.5000 0.5000 0.0000  8 F 2.55
Sr: 0.2500 0.7500 0.5000  8 F 2.55
F: 0.8750 0.3811 0.2500  2 Sr 2.55, 2 Pb 2.59
F: 0.6189 0.6250 0.7500  2 Sr 2.55, 2 Pb 2.59
F: 0.1311 0.6250 0.7500  2 Sr 2.55, 2 Pb 2.59
F: 0.1311 0.1250 0.7500  2 Sr 2.55, 2 Pb 2.59
F: 0.8750 0.8689 0.2500  2 Sr 2.55, 2 Pb 2.59
F: 0.3750 0.8689 0.2500  2 Sr 2.55, 2 Pb 2.59
F: 0.3750 0.3811 0.2500  2 Sr 2.55, 2 Pb 2.59
F: 0.6189 0.1250 0.7500  2 Sr 2.55, 2 Pb 2.59

=====

# 2
Below is a geometry-optimized Sr4Pb2F structure, with properties calculated at the GGA-PBE level.

Computed properties:
- volume (Å³/cell) = 240
- raw total energy (hartree per atom) = -0.1283
- DOS(E_F) (states/eV per atom) = 0.7496
- SG = I4/mmm, No. 139
- M_tot (μB/cell) = 0.00
- ΔE_f (raw) (eV per atom) = -1.20

Cell lengths 5.0694, 5.0694, 10.0022 Å; angles 104.68, 104.68, 90.00 degrees
Closest atoms and distances in Å follow each position.
Fractional coordinates of all 7 atoms:
Sr: 0.1823 0.1823 0.3646  1 F 3.40, 5 Pb 3.47-3.71
Sr: 0.5000 0.0000 0.0000  2 F 2.53
Sr: 0.0000 0.5000 0.0000  2 F 2.53
Sr: 0.8177 0.8177 0.6354  1 F 3.40, 5 Pb 3.47-3.71
Pb: 0.6321 0.6321 0.2642  9 Sr 3.47-3.71
Pb: 0.3679 0.3679 0.7358  9 Sr 3.47-3.71
F: 0.0000 0.0000 0.0000  4 Sr 2.53

=====

# 3
Below is a geometry-optimized Sr2ZnPbF8 structure, with properties calculated at the GGA-PBE level.

Computed properties:
- volume (Å³/cell) = 189
- raw total energy (hartree per atom) = -0.1850
- DOS(E_F) (states/eV per atom) = 0.0000
- SG = P2/m, No. 10
- M_tot (μB/cell) = 0.00
- ΔE_f (raw) (eV per atom) = -3.09

Cell lengths 4.2245, 5.6437, 7.9824 Å; angles 90.03, 89.99, 96.27 degrees
Closest atoms and distances in Å follow each position.
Fractional coordinates of all 12 atoms:
F: 0.4889 0.7408 0.5001  2 Pb 2.47-2.66, 2 Sr 2.50, 1 F 2.73
F: 0.0470 0.7613 0.2240  1 Zn 2.26
F: 0.9529 0.2382 0.2237  1 Zn 2.26
F: 0.5111 0.2592 0.4999  2 Pb 2.47-2.66, 2 Sr 2.50, 1 F 2.73
F: 0.0471 0.7618 0.7763  1 Zn 2.26
F: 0.4055 0.2211 0.9999  1 Zn 2.01
F: 0.9530 0.2387 0.7760  1 Zn 2.26
F: 0.5945 0.7789 0.0001  1 Zn 2.01
Zn: 0.0000 0.0000 0.0000  2 F 2.01
Sr: 0.5000 0.5001 0.7631  8 F 2.46-2.61
Sr: 0.5000 0.4999 0.2369  8 F 2.46-2.61
Pb: 0.0000 0.0000 0.5000  8 F 2.47-2.66

=====

# 4
Below is a geometry-optimized Ta2PbF structure, with properties calculated at the GGA-PBE level.

Computed properties:
- volume (Å³/cell) = 178
- raw total energy (hartree per atom) = -0.2523
- excess energy over the best structure of this formula in the dataset (eV per atom) = 0.162
- DOS(E_F) (states/eV per atom) = 0.5993
- SG = I-42d, No. 122
- M_tot (μB/cell) = 0.00
- ΔE_f (raw) (eV per atom) = 0.46

Cell lengths 4.9358, 4.9358, 8.0895 Å; angles 72.24, 72.24, 90.00 degrees
Closest atoms and distances in Å follow each position.
Fractional coordinates of all 8 atoms:
Ta: 0.8750 0.6562 0.7500  2 F 2.21
Ta: 0.4062 0.1250 0.2500  2 F 2.21
Ta: 0.3750 0.5938 0.7500  2 F 2.21
Ta: 0.3438 0.6250 0.2500  2 F 2.21
Pb: 0.7500 0.2500 0.5000  8 Ta 3.19-3.42, 4 F 3.49
Pb: 0.0000 0.0000 0.0000  8 Ta 3.19-3.42, 4 F 3.49
F: 0.5000 0.5000 0.0000  4 Ta 2.21
F: 0.2500 0.7500 0.5000  4 Ta 2.21

=====

# 5
Below is a geometry-optimized TaPb2F2 structure, with properties calculated at the GGA-PBE level.

Computed properties:
- volume (Å³/cell) = 211
- raw total energy (hartree per atom) = -0.1879
- excess energy over the best structure of this formula in the dataset (eV per atom) = 0.012
- DOS(E_F) (states/eV per atom) = 0.5657
- SG = P4/mbm, No. 127
- M_tot (μB/cell) = 0.00
- ΔE_f (raw) (eV per atom) = -0.51

Cell lengths 8.3033, 8.3033, 3.0590 Å; angles 90.00, 90.00, 90.00 degrees
Closest atoms and distances in Å follow each position.
Fractional coordinates of all 10 atoms:
F: 0.8826 0.3826 0.5000  2 Pb 2.39
F: 0.6174 0.8826 0.5000  2 Pb 2.39
F: 0.3826 0.1174 0.5000  2 Pb 2.39
F: 0.1174 0.6174 0.5000  2 Pb 2.39
Ta: 0.0000 0.0000 0.0000  4 Pb 2.95, 2 Ta 3.06
Ta: 0.5000 0.5000 0.0000  4 Pb 2.95, 2 Ta 3.06
Pb: 0.2736 0.7736 0.0000  2 F 2.39
Pb: 0.7736 0.7264 0.0000  2 F 2.39
Pb: 0.2264 0.2736 0.0000  2 F 2.39
Pb: 0.7264 0.2264 0.0000  2 F 2.39

=====

# 6
Below is a geometry-optimized TaPb2F structure, with properties calculated at the GGA-PBE level.

Computed properties:
- volume (Å³/cell) = 224
- raw total energy (hartree per atom) = -0.1801
- excess energy over the best structure of this formula in the dataset (eV per atom) = 0.188
- DOS(E_F) (states/eV per atom) = 1.3195
- SG = I-42d, No. 122
- M_tot (μB/cell) = 1.52
- ΔE_f (raw) (eV per atom) = 0.38

Cell lengths 5.5223, 5.5223, 8.3073 Å; angles 70.59, 70.59, 90.00 degrees
Closest atoms and distances in Å follow each position.
Fractional coordinates of all 8 atoms:
F: 0.2500 0.7500 0.5000  4 Pb 2.55
F: 0.5000 0.5000 0.0000  4 Pb 2.55
Pb: 0.5776 0.1250 0.2500  2 F 2.55, 2 Ta 2.82
Pb: 0.1724 0.6250 0.2500  2 F 2.55, 2 Ta 2.82
Pb: 0.8750 0.8276 0.7500  2 F 2.55, 2 Ta 2.82
Pb: 0.3750 0.4224 0.7500  2 F 2.55, 2 Ta 2.82
Ta: 0.0000 0.0000 0.0000  4 Pb 2.82
Ta: 0.7500 0.2500 0.5000  4 Pb 2.82

=====

What did the sixth record say?
Below is a geometry-optimized TaPb2F structure, with properties calculated at the GGA-PBE level.

Computed properties:
- volume (Å³/cell) = 224
- raw total energy (hartree per atom) = -0.1801
- excess energy over the best structure of this formula in the dataset (eV per atom) = 0.188
- DOS(E_F) (states/eV per atom) = 1.3195
- SG = I-42d, No. 122
- M_tot (μB/cell) = 1.52
- ΔE_f (raw) (eV per atom) = 0.38

Cell lengths 5.5223, 5.5223, 8.3073 Å; angles 70.59, 70.59, 90.00 degrees
Closest atoms and distances in Å follow each position.
Fractional coordinates of all 8 atoms:
F: 0.2500 0.7500 0.5000  4 Pb 2.55
F: 0.5000 0.5000 0.0000  4 Pb 2.55
Pb: 0.5776 0.1250 0.2500  2 F 2.55, 2 Ta 2.82
Pb: 0.1724 0.6250 0.2500  2 F 2.55, 2 Ta 2.82
Pb: 0.8750 0.8276 0.7500  2 F 2.55, 2 Ta 2.82
Pb: 0.3750 0.4224 0.7500  2 F 2.55, 2 Ta 2.82
Ta: 0.0000 0.0000 0.0000  4 Pb 2.82
Ta: 0.7500 0.2500 0.5000  4 Pb 2.82